VASP calculation (GGA+U) on a relaxed CrInCO2 crystal.

Calculated values
VASP energy: -5.533 eV/atom

Lattice parameters (Å, degrees): 3.5561 3.5561 6.3604 90.00 90.00 90.00
Last column: nearest neighbours and their distance in Å.
Atoms (fractional coordinates):
Cr: 0.0000 0.0000 0.0000  4 O 1.78
In: 0.0000 0.0000 0.5000  4 C 2.51
C: 0.5000 0.5000 0.5000  4 In 2.51
O: 0.0000 0.5000 0.0000  2 Cr 1.78
O: 0.5000 0.0000 0.0000  2 Cr 1.78